Ca2InSe: PBEsol geometry, SCAN.

Summary:
Energy above the most stable polymorph in this dataset in meV/atom: 56.4
Volume in Å³ per atom: 25.52
Formation energy without anion corrections in eV/atom: -1.18
Crystal system: tetragonal

Cell: 3.532 3.532 8.181 Å, 90.00 90.00 90.00°
Element x y z (fractional)
Ca 0.000 0.000 0.214
Ca 0.000 0.000 0.786
In 0.500 0.500 0.500
Se 0.500 0.500 0.000


Ca2InSe: PBEsol geometry, SCAN.

Summary:
Energy above the most stable polymorph in this dataset in meV/atom: 0.0
Volume in Å³ per atom: 28.37
Formation energy without anion corrections in eV/atom: -1.24
Crystal system: trigonal

Cell: 3.935 3.935 25.394 Å, 90.00 90.00 120.00°
Element x y z (fractional)
Ca 0.000 0.000 0.236
Ca 0.000 0.000 0.764
Ca 0.333 0.667 0.431
Ca 0.333 0.667 0.903
Ca 0.667 0.333 0.097
Ca 0.667 0.333 0.569
In 0.000 0.000 0.000
In 0.333 0.667 0.667
In 0.667 0.333 0.333
Se 0.000 0.000 0.500
Se 0.333 0.667 0.167
Se 0.667 0.333 0.833


Look up the energy above the most stable polymorph in this dataset of the second one.
0.0 meV/atom


Which of these has the lowest formation energy without anion corrections?
number 2


Which formula does entry 1 have?
Ca2InSe


Which value of energy above the most stable polymorph in this dataset does entry 1 give?
56.4 meV/atom